ZnCr3I | PBEsol | relaxed

```
5
Lattice="-1.827 3.002 3.368 -4.420 -1.921 -0.685 0.907 -3.315 3.447" Properties=species:S:1:pos:R:3 pbc="T T T"
Zn -2.670 -1.117 3.065
Cr 0.454 -1.658 1.724
Cr -2.210 -0.961 -0.342
Cr -0.913 1.501 1.684
I 0.000 0.000 0.000
```

Properties
For the formation energy without anion corrections, the calculation gives 1.789 eV per atom. The calculation puts the total moment at 10.690 μB/cell. As for the symmetry: Pm-3m (221). As for the raw total energy: -5.0259 eV per atom.